[1]
Crystalline AlFeCuRe at its relaxed geometry. Source: the Open Quantum Materials Database, functional PBE.

Results
* SG: No. 216
* total magnetization: 0.68 μB/f.u.
* E above lowest polymorph: 0.000 eV/atom
* V: 50.6 Å³ per cell
* total DFT energy (no corrections): -28.0 eV for the cell shown
* theoretical density: 10.90 Mg/m³

a = 4.1530 Å, b = 4.1530 Å, c = 4.1530 Å
α = 60.00°, β = 60.00°, γ = 60.00°
Atoms (fractional coordinates):
Al 0.0000 0.0000 0.0000
Fe 0.2500 0.2500 0.2500
Re 0.5000 0.5000 0.5000
Cu 0.7500 0.7500 0.7500

---

[2]
Crystalline NdTlZnSe3 at its relaxed geometry. Source: the Open Quantum Materials Database, functional PBE.

Results
* SG: No. 63
* total magnetization: 0.00 μB/f.u.
* E above lowest polymorph: 0.001 eV/atom
* V: 350.5 Å³ per cell
* total DFT energy (no corrections): -51.2 eV for the cell shown
* theoretical density: 6.17 Mg/m³

a = 7.6896 Å, b = 7.6896 Å, c = 11.2832 Å
α = 90.00°, β = 90.00°, γ = 148.31°
Atoms (fractional coordinates):
Se 0.6309 0.3691 0.4299
Se 0.9341 0.0659 0.2500
Se 0.3691 0.6309 0.9299
Zn 0.4632 0.5368 0.7500
Se 0.0659 0.9341 0.7500
Nd 0.0000 0.0000 0.5000
Se 0.6309 0.3691 0.0701
Tl 0.2487 0.7513 0.2500
Tl 0.7513 0.2487 0.7500
Nd 0.0000 0.0000 0.0000
Se 0.3691 0.6309 0.5701
Zn 0.5368 0.4632 0.2500

---

[3]
Crystalline Rb2Fe at its relaxed geometry. Source: the Open Quantum Materials Database, functional PBE.

Results
* SG: No. 227
* total magnetization: 3.12 μB/f.u.
* E above lowest polymorph: 0.080 eV/atom
* V: 304.6 Å³ per cell
* total DFT energy (no corrections): -12.0 eV for the cell shown
* theoretical density: 2.47 Mg/m³

a = 7.5525 Å, b = 7.5525 Å, c = 7.5525 Å
α = 60.00°, β = 60.00°, γ = 60.00°
Last column: magnetic moment on the atom in μB.
Atoms (fractional coordinates):
Rb 0.1250 0.6250 0.6250  -0.01
Rb 0.6250 0.1250 0.6250  -0.01
Rb 0.6250 0.6250 0.6250  -0.01
Fe 0.0000 0.0000 0.0000  3.26
Rb 0.6250 0.6250 0.1250  -0.01
Fe 0.2500 0.2500 0.2500  3.26